VASP calculation (PBE) on crystalline HoTh3C at its relaxed geometry.

Lattice parameters (Å, degrees): 5.1593 5.1593 5.1593 90.00 90.00 90.00
Sites, in units of the cell vectors:
Ho: 0.0000 0.0000 0.0000
Th: 0.0000 0.5000 0.5000
Th: 0.5000 0.0000 0.5000
Th: 0.5000 0.5000 0.0000
C: 0.5000 0.5000 0.5000

Values from the calculation:
Its symmetry is Pm-3m, No. 221. Its volume is 27.47 Å³/atom. As for the formation energy: -0.110 eV per atom. The value obtained for the mass density is 10.56 g/cm³. The value obtained for the spin magnetization is 0.00 Bohr magnetons per cell.

VASP calculation (PBE) on crystalline KTlZnCd at its relaxed geometry.

Lattice parameters (Å, degrees): 7.6797 7.6797 7.6797 90.00 90.00 90.00
Sites, in units of the cell vectors:
K: 0.0000 0.0000 0.0000
K: 0.0000 0.5000 0.5000
K: 0.5000 0.0000 0.5000
K: 0.5000 0.5000 0.0000
Tl: 0.0000 0.0000 0.5000
Tl: 0.0000 0.5000 0.0000
Tl: 0.5000 0.0000 0.0000
Tl: 0.5000 0.5000 0.5000
Zn: 0.2500 0.2500 0.2500
Zn: 0.2500 0.7500 0.7500
Zn: 0.7500 0.2500 0.7500
Zn: 0.7500 0.7500 0.2500
Cd: 0.2500 0.2500 0.7500
Cd: 0.2500 0.7500 0.2500
Cd: 0.7500 0.2500 0.2500
Cd: 0.7500 0.7500 0.7500

Values from the calculation:
Its symmetry is F-43m, No. 216. Its volume is 28.31 Å³/atom. As for the formation energy: 0.077 eV per atom. The value obtained for the mass density is 6.18 g/cm³. The value obtained for the spin magnetization is 0.00 Bohr magnetons per cell.

VASP calculation (PBE) on crystalline Ce2Dy3Pb4 at its relaxed geometry.

Lattice parameters (Å, degrees): 9.3823 9.3823 9.0626 90.00 90.00 134.85
Sites, in units of the cell vectors:
Ce: 0.1111 0.8889 0.9129
Ce: 0.3889 0.6111 0.4129
Ce: 0.6111 0.3889 0.5871
Ce: 0.8889 0.1111 0.0871
Dy: 0.0000 0.0000 0.5000
Dy: 0.0430 0.4570 0.7500
Dy: 0.4570 0.0430 0.2500
Dy: 0.5000 0.5000 0.0000
Dy: 0.5430 0.9570 0.7500
Dy: 0.9570 0.5430 0.2500
Pb: 0.1855 0.8145 0.5552
Pb: 0.2196 0.2804 0.7500
Pb: 0.2804 0.2196 0.2500
Pb: 0.3145 0.6855 0.0552
Pb: 0.6855 0.3145 0.9448
Pb: 0.7196 0.7804 0.7500
Pb: 0.7804 0.7196 0.2500
Pb: 0.8145 0.1855 0.4448

Values from the calculation:
Its symmetry is Cmce, No. 64. Its volume is 31.42 Å³/atom. As for the formation energy: -0.366 eV per atom. The value obtained for the mass density is 9.38 g/cm³. The value obtained for the spin magnetization is 4.69 Bohr magnetons per cell.

VASP calculation (PBE) on crystalline TcSb2PtI at its relaxed geometry.

Lattice parameters (Å, degrees): 5.2300 5.2300 5.4986 90.00 90.00 90.00
Sites, in units of the cell vectors:
Tc: 0.0000 0.0000 0.0000
Sb: 0.0000 0.5000 0.5000
Sb: 0.5000 0.0000 0.5000
Pt: 0.5000 0.5000 0.5000
I: 0.5000 0.5000 0.0000

Values from the calculation:
Its symmetry is P4/mmm, No. 123. Its volume is 30.08 Å³/atom. The formation energy (no corrections) comes out at 1.06 eV/atom. Its distance to the lowest polymorph of the same formula is 16.2 kJ/mol of atoms. The value obtained for the mass density is 7.33 g/cm³. The value obtained for the spin magnetization is 3.20 Bohr magnetons per cell.

VASP calculation (PBE) on crystalline KSnH at its relaxed geometry.

Lattice parameters (Å, degrees): 3.5189 3.5393 12.2513 91.77 90.01 90.09
Sites, in units of the cell vectors:
K: 0.0000 0.0380 0.3243
K: 0.0000 0.9620 0.6757
Sn: 0.5004 0.4816 0.8831
Sn: 0.4996 0.5184 0.1169
H: 0.5003 0.1177 0.5027
H: 0.4997 0.8823 0.4973

Values from the calculation:
Its symmetry is P-1, No. 2. Its volume is 25.42 Å³/atom. Its distance to the lowest polymorph of the same formula is 25.0 kJ/mol of atoms. The value obtained for the mass density is 3.46 g/cm³. The value obtained for the spin magnetization is 0.00 Bohr magnetons per cell.

VASP calculation (PBE) on crystalline Sc2TaRh at its relaxed geometry.

Lattice parameters (Å, degrees): 3.0933 3.0933 8.3196 90.00 90.00 90.00
Sites, in units of the cell vectors:
Sc: 0.0000 0.0000 0.0000
Sc: 0.5000 0.5000 0.3407
Ta: 0.0000 0.0000 0.5892
Rh: 0.5000 0.5000 0.7903

Values from the calculation:
Its symmetry is P4mm, No. 99. Its volume is 19.90 Å³/atom. As for the formation energy: -0.308 eV per atom. Its distance to the lowest polymorph of the same formula is 5.4 kJ/mol of atoms. The value obtained for the mass density is 7.80 g/cm³. The value obtained for the spin magnetization is 0.00 Bohr magnetons per cell.

VASP calculation (PBE) on crystalline LiTl2Pd7Se2 at its relaxed geometry.

Lattice parameters (Å, degrees): 4.0030 4.0030 14.5301 94.53 94.53 89.82
Sites, in units of the cell vectors:
Li: 0.0000 0.0000 0.0000
Tl: 0.1032 0.1032 0.4019
Tl: 0.8968 0.8968 0.5981
Pd: 0.0384 0.5387 0.1331
Pd: 0.4031 0.4031 0.5885
Pd: 0.4613 0.9616 0.8669
Pd: 0.5000 0.5000 0.0000
Pd: 0.5387 0.0384 0.1331
Pd: 0.5969 0.5969 0.4115
Pd: 0.9616 0.4613 0.8669
Se: 0.4335 0.4335 0.7648
Se: 0.5665 0.5665 0.2352

Values from the calculation:
Its symmetry is C2/m, No. 12. Its volume is 19.28 Å³/atom. The formation energy (no corrections) comes out at -0.23 eV/atom. The value obtained for the mass density is 9.46 g/cm³. The value obtained for the spin magnetization is 0.00 Bohr magnetons per cell.

VASP calculation (PBE) on crystalline Y2NbHPb at its relaxed geometry.

Lattice parameters (Å, degrees): 4.9296 4.9296 4.2043 90.00 90.00 90.00
Sites, in units of the cell vectors:
Y: 0.0000 0.5000 0.0000
Y: 0.5000 0.0000 0.0000
Nb: 0.0000 0.0000 0.5000
H: 0.0000 0.0000 0.0000
Pb: 0.5000 0.5000 0.5000

Values from the calculation:
Its symmetry is P4/mmm, No. 123. Its volume is 20.43 Å³/atom. The value obtained for the mass density is 7.78 g/cm³. The value obtained for the spin magnetization is 0.79 Bohr magnetons per cell. Its total energy is -6.208 eV/atom.

VASP calculation (PBE) on crystalline KBaSi2 at its relaxed geometry.

Lattice parameters (Å, degrees): 3.8748 3.8748 31.1678 90.00 90.00 120.00
Sites, in units of the cell vectors:
K: 0.0000 0.0000 0.0000
K: 0.3333 0.6667 0.6667
K: 0.6667 0.3333 0.3333
Ba: 0.0000 0.0000 0.5000
Ba: 0.3333 0.6667 0.1667
Ba: 0.6667 0.3333 0.8333
Si: 0.0000 0.0000 0.2477
Si: 0.0000 0.0000 0.7523
Si: 0.3333 0.6667 0.4190
Si: 0.3333 0.6667 0.9143
Si: 0.6667 0.3333 0.0857
Si: 0.6667 0.3333 0.5810

Values from the calculation:
Its symmetry is R-3m, No. 166. Its volume is 33.77 Å³/atom. The formation energy (no corrections) comes out at 0.57 eV/atom. Its distance to the lowest polymorph of the same formula is 72.3 kJ/mol of atoms. The value obtained for the mass density is 2.86 g/cm³. The value obtained for the spin magnetization is 0.00 Bohr magnetons per cell.

VASP calculation (PBE) on crystalline Ta2VOs2 at its relaxed geometry.

Lattice parameters (Å, degrees): 7.4601 7.4601 3.0586 90.00 90.00 90.00
Sites, in units of the cell vectors:
Ta: 0.1614 0.3386 0.0000
Ta: 0.3386 0.8386 0.0000
Ta: 0.6614 0.1614 0.0000
Ta: 0.8386 0.6614 0.0000
V: 0.0000 0.0000 0.5000
V: 0.5000 0.5000 0.5000
Os: 0.1383 0.6383 0.5000
Os: 0.3617 0.1383 0.5000
Os: 0.6383 0.8617 0.5000
Os: 0.8617 0.3617 0.5000

Values from the calculation:
Its symmetry is P4/mbm, No. 127. Its volume is 17.02 Å³/atom. As for the formation energy: 0.099 eV per atom. The value obtained for the mass density is 15.48 g/cm³. The value obtained for the spin magnetization is 3.98 Bohr magnetons per cell.

VASP calculation (PBE) on crystalline CoS2Cl2 at its relaxed geometry.

Lattice parameters (Å, degrees): 5.9026 5.9026 7.4557 99.13 99.13 119.58
Sites, in units of the cell vectors:
Co: 0.1625 0.8375 0.0000
Co: 0.8375 0.1625 0.0000
S: 0.0980 0.0980 0.8419
S: 0.1300 0.1300 0.4302
S: 0.8700 0.8700 0.5698
S: 0.9020 0.9020 0.1581
Cl: 0.2032 0.5624 0.1821
Cl: 0.4376 0.7968 0.8179
Cl: 0.5624 0.2032 0.1821
Cl: 0.7968 0.4376 0.8179

Values from the calculation:
Its symmetry is C2/m, No. 12. Its volume is 21.44 Å³/atom. The formation energy (no corrections) comes out at -0.37 eV/atom. The value obtained for the mass density is 3.00 g/cm³. The value obtained for the spin magnetization is 0.00 Bohr magnetons per cell.

VASP calculation (PBE) on crystalline Sb3Pd2 at its relaxed geometry.

Lattice parameters (Å, degrees): 6.7293 6.7293 6.7829 116.57 116.57 64.21
Sites, in units of the cell vectors:
Sb: 0.0778 0.9222 0.7500
Sb: 0.2527 0.4121 0.9258
Sb: 0.4121 0.2527 0.4258
Sb: 0.5879 0.7473 0.5742
Sb: 0.7473 0.5879 0.0742
Sb: 0.9222 0.0778 0.2500
Pd: 0.1610 0.6598 0.3468
Pd: 0.3402 0.8390 0.1532
Pd: 0.6598 0.1610 0.8468
Pd: 0.8390 0.3402 0.6532

Values from the calculation:
Its symmetry is C2/c, No. 15. Its volume is 23.49 Å³/atom. The formation energy (no corrections) comes out at -0.32 eV/atom. The value obtained for the mass density is 8.17 g/cm³. The value obtained for the spin magnetization is 0.00 Bohr magnetons per cell.

Among the records above, which one has the highest mass density?
Ta2VOs2

What is the formula in the twelfth record?
Sb3Pd2

What is the mass density in the first record?
10.56 g/cm³

What did the sixth record say?
VASP calculation (PBE) on crystalline Sc2TaRh at its relaxed geometry.

Lattice parameters (Å, degrees): 3.0933 3.0933 8.3196 90.00 90.00 90.00
Sites, in units of the cell vectors:
Sc: 0.0000 0.0000 0.0000
Sc: 0.5000 0.5000 0.3407
Ta: 0.0000 0.0000 0.5892
Rh: 0.5000 0.5000 0.7903

Values from the calculation:
Its symmetry is P4mm, No. 99. Its volume is 19.90 Å³/atom. As for the formation energy: -0.308 eV per atom. Its distance to the lowest polymorph of the same formula is 5.4 kJ/mol of atoms. The value obtained for the mass density is 7.80 g/cm³. The value obtained for the spin magnetization is 0.00 Bohr magnetons per cell.